1.
VASP calculation (SCAN) on a crystal of MnAlIrS2 relaxed with PBEsol.

Cell lengths 4.1382, 4.1382, 4.5884 Å; angles 90.00, 90.00, 90.00 degrees
With the nearest neighbours (Å) after each atom.
Positions (direct):
S 0.0000 0.5000 0.0000  2 Mn 2.07
S 0.5000 0.0000 0.0000  2 Mn 2.07
Ir 0.5000 0.5000 0.5000  4 Al 2.93, 8 S 3.09
Al 0.0000 0.0000 0.5000  2 Mn 2.29
Mn 0.0000 0.0000 0.0000  4 S 2.07, 2 Al 2.29

Summary:
- uncorrected energy (eV per atom) = -22.407
- ΔE_f (raw) (eV/atom) = 0.8652
- space-group type = No. 123

=====

2.
VASP calculation (SCAN) on a crystal of CrRhAu2 relaxed with PBEsol.

Cell lengths 2.9049, 4.7764, 4.7239 Å; angles 103.05, 90.00, 107.70 degrees
With the nearest neighbours (Å) after each atom.
Positions (direct):
Au 0.9966 0.9932 0.9978  4 Cr 2.72-2.83, 5 Au 2.73-2.90, 3 Rh 2.77-2.80
Au 0.7573 0.5146 0.2535  4 Rh 2.73-2.83, 5 Au 2.73-2.90, 3 Cr 2.75-2.83
Cr 0.5087 0.0174 0.5167  2 Rh 2.54, 7 Au 2.72-2.83
Rh 0.2374 0.4748 0.7320  2 Cr 2.54, 7 Au 2.73-2.83

Summary:
- energy of formation (eV per formula unit) = -0.12
- uncorrected energy (eV per atom) = -47.648
- space-group type = No. 8

=====

3.
VASP calculation (SCAN) on a crystal of Ba3PtCl relaxed with PBEsol.

Cell lengths 6.1245, 6.1245, 6.1245 Å; angles 90.00, 90.00, 90.00 degrees
With the nearest neighbours (Å) after each atom.
Positions (direct):
Ba 0.0000 0.5000 0.0000  2 Pt 3.06
Ba 0.0000 0.0000 0.5000  2 Pt 3.06
Ba 0.5000 0.0000 0.0000  2 Pt 3.06
Pt 0.0000 0.0000 0.0000  6 Ba 3.06
Cl 0.5000 0.5000 0.5000  12 Ba 4.33

Summary:
- uncorrected energy (eV per atom) = -40.232
- ΔE_f (raw) (eV/atom) = -0.8682
- space-group type = No. 221

=====

4.
VASP calculation (SCAN) on a crystal of CsCaTa3 relaxed with PBEsol.

Cell lengths 5.0382, 5.0382, 5.0382 Å; angles 90.00, 90.00, 90.00 degrees
With the nearest neighbours (Å) after each atom.
Positions (direct):
Cs 0.5000 0.5000 0.5000  12 Ta 3.56
Ca 0.0000 0.0000 0.0000  6 Ta 2.52
Ta 0.0000 0.5000 0.0000  2 Ca 2.52
Ta 0.0000 0.0000 0.5000  2 Ca 2.52
Ta 0.5000 0.0000 0.0000  2 Ca 2.52

Summary:
- energy of formation (eV per formula unit) = 15.42
- uncorrected energy (eV per atom) = -46.360
- space-group type = No. 221

=====

5.
VASP calculation (SCAN) on a crystal of CdTeRu2 relaxed with PBEsol.

Cell lengths 2.9066, 3.6160, 7.1712 Å; angles 90.00, 90.00, 90.00 degrees
With the nearest neighbours (Å) after each atom.
Positions (direct):
Cd 0.5000 0.5000 0.8136  5 Ru 2.85-2.89, 2 Cd 2.91
Ru 0.0000 0.0000 0.0436  6 Ru 2.63-2.91, 1 Te 2.74, 4 Cd 2.85
Ru 0.5000 0.5000 0.2170  6 Ru 2.63-2.91, 4 Te 2.76, 1 Cd 2.89
Te 0.0000 0.0000 0.4259  5 Ru 2.74-2.76, 2 Te 2.91

Summary:
- uncorrected energy (eV per atom) = -34.007
- ΔE_f (raw) (eV/atom) = 0.3223
- space-group type = No. 25

=====

6.
VASP calculation (SCAN) on a crystal of LaCr2Cu relaxed with PBEsol.

Cell lengths 4.5677, 4.6337, 4.5677 Å; angles 60.47, 90.00, 119.53 degrees
With the nearest neighbours (Å) after each atom.
Positions (direct):
Cr 0.2500 0.5000 0.2500  4 La 2.82, 4 Cu 2.82
Cr 0.7500 0.5000 0.7500  4 La 2.82, 4 Cu 2.82
Cu 0.5000 0.0000 0.5000  8 Cr 2.82
La 0.0000 0.0000 0.0000  8 Cr 2.82

Summary:
- energy of formation (eV per formula unit) = 1.87
- uncorrected energy (eV per atom) = -23.300
- space-group type = No. 139

=====

7.
VASP calculation (SCAN) on a crystal of ScZn relaxed with PBEsol.

Cell lengths 3.2175, 4.6404, 5.6126 Å; angles 114.42, 106.66, 90.00 degrees
With the nearest neighbours (Å) after each atom.
Positions (direct):
Sc 0.1101 0.8601 0.2202  6 Zn 2.85-3.00, 4 Sc 3.15-3.16
Sc 0.8899 0.1399 0.7798  6 Zn 2.85-3.00, 4 Sc 3.15-3.16
Zn 0.6505 0.4005 0.3010  2 Zn 2.51
Zn 0.3495 0.5995 0.6990  2 Zn 2.51

Summary:
- energy of formation (eV per formula unit) = -0.68
- uncorrected energy (eV per atom) = -14.214
- space-group type = No. 74

=====

8.
VASP calculation (SCAN) on a crystal of CsAlSe2Br relaxed with PBEsol.

Cell lengths 5.7189, 5.7189, 6.4353 Å; angles 90.00, 90.00, 90.00 degrees
With the nearest neighbours (Å) after each atom.
Positions (direct):
Cs 0.0000 0.0000 0.0000  4 Se 2.86
Se 0.0000 0.5000 0.0000  2 Cs 2.86
Se 0.5000 0.0000 0.0000  2 Cs 2.86
Br 0.0000 0.0000 0.5000  2 Cs 3.22
Al 0.5000 0.5000 0.5000  4 Br 4.04, 8 Se 4.30

Summary:
- uncorrected energy (eV per atom) = -20.375
- ΔE_f (raw) (eV/atom) = 0.6610
- space-group type = No. 123

=====

9.
VASP calculation (SCAN) on a crystal of K2TeBr6 relaxed with PBEsol.

Cell lengths 7.4009, 7.7427, 10.4764 Å; angles 90.00, 89.57, 90.00 degrees
With the nearest neighbours (Å) after each atom.
Positions (direct):
K 0.5199 0.0736 0.7509  8 Br 3.31-3.58
K 0.9801 0.5736 0.7491  8 Br 3.31-3.58
K 0.4801 0.9264 0.2491  8 Br 3.31-3.58
K 0.0199 0.4264 0.2509  8 Br 3.31-3.58
Te 0.5000 0.5000 0.5000  6 Br 2.71
Te 0.0000 0.0000 0.0000  6 Br 2.71
Br 0.5752 0.5063 0.2469  1 Te 2.71
Br 0.4248 0.4937 0.7531  1 Te 2.71
Br 0.7027 0.8031 0.9582  1 Te 2.71
Br 0.0752 0.9937 0.7469  1 Te 2.71
Br 0.2973 0.1969 0.0418  1 Te 2.71
Br 0.2027 0.6969 0.4582  1 Te 2.71
Br 0.8027 0.2918 0.9663  1 Te 2.71
Br 0.6973 0.7918 0.5337  1 Te 2.71
Br 0.1973 0.7082 0.0337  1 Te 2.71
Br 0.3027 0.2082 0.4663  1 Te 2.71
Br 0.7973 0.3031 0.5418  1 Te 2.71
Br 0.9248 0.0063 0.2531  1 Te 2.71

Summary:
- uncorrected energy (eV per atom) = -20.102
- ΔE_f (raw) (eV/atom) = -1.1392
- space-group type = No. 14

=====

10.
VASP calculation (SCAN) on a crystal of Hf3ZrTi relaxed with PBEsol.

Cell lengths 4.8441, 4.8441, 4.8441 Å; angles 90.00, 90.00, 90.00 degrees
With the nearest neighbours (Å) after each atom.
Positions (direct):
Hf 0.0000 0.5000 0.0000  2 Ti 2.42
Hf 0.0000 0.0000 0.5000  2 Ti 2.42
Hf 0.5000 0.0000 0.0000  2 Ti 2.42
Zr 0.5000 0.5000 0.5000  12 Hf 3.43
Ti 0.0000 0.0000 0.0000  6 Hf 2.42

Summary:
- energy of formation (eV per formula unit) = 4.08
- uncorrected energy (eV per atom) = -46.133
- space-group type = No. 221

=====

11.
VASP calculation (SCAN) on a crystal of La3VH3O8 relaxed with PBEsol.

Cell lengths 5.6407, 6.3371, 10.5765 Å; angles 90.00, 90.00, 104.38 degrees
With the nearest neighbours (Å) after each atom.
Positions (direct):
La 0.2768 0.3013 0.2500  8 O 2.45-2.62
La 0.7232 0.6987 0.7500  8 O 2.45-2.62
La 0.1888 0.8009 0.0430  7 O 2.36-2.59
La 0.8112 0.1991 0.5430  7 O 2.36-2.59
La 0.8112 0.1991 0.9570  7 O 2.36-2.59
La 0.1888 0.8009 0.4570  7 O 2.36-2.59
V 0.3074 0.0300 0.7500  1 O 1.71
V 0.6926 0.9700 0.2500  1 O 1.71
H 0.8674 0.5945 0.2500  1 O 0.99
H 0.1326 0.4055 0.7500  1 O 0.99
H 0.3478 0.4010 0.9556  1 O 0.98
H 0.6522 0.5990 0.4556  1 O 0.98
H 0.6522 0.5990 0.0444  1 O 0.98
H 0.3478 0.4010 0.5444  1 O 0.98
O 0.5630 0.6957 0.2500  1 V 1.71
O 0.4370 0.3043 0.7500  1 V 1.71
O 0.0412 0.5902 0.2500  1 H 0.99
O 0.9588 0.4098 0.7500  1 H 0.99
O 0.5108 0.0948 0.1279  1 V 1.94
O 0.4892 0.9052 0.6279  1 V 1.94
O 0.4892 0.9052 0.8721  1 V 1.94
O 0.5108 0.0948 0.3721  1 V 1.94
O 0.9592 0.0400 0.1326  1 V 1.92
O 0.0408 0.9600 0.6326  1 V 1.92
O 0.0408 0.9600 0.8674  1 V 1.92
O 0.9592 0.0400 0.3674  1 V 1.92
O 0.2358 0.4302 0.0205  1 H 0.98
O 0.7642 0.5698 0.5205  1 H 0.98
O 0.7642 0.5698 0.9795  1 H 0.98
O 0.2358 0.4302 0.4795  1 H 0.98

Summary:
- uncorrected energy (eV per atom) = -16.646
- space-group type = No. 11

=====

12.
VASP calculation (SCAN) on a crystal of BiSbPtI2 relaxed with PBEsol.

Cell lengths 5.7686, 5.7686, 6.0835 Å; angles 90.00, 90.00, 90.00 degrees
With the nearest neighbours (Å) after each atom.
Positions (direct):
I 0.0000 0.5000 0.0000  2 Bi 2.88
I 0.5000 0.0000 0.0000  2 Bi 2.88
Sb 0.0000 0.0000 0.5000  2 Bi 3.04
Bi 0.0000 0.0000 0.0000  4 I 2.88, 2 Sb 3.04
Pt 0.5000 0.5000 0.5000  4 Sb 4.08, 8 I 4.19

Summary:
- uncorrected energy (eV per atom) = -50.664
- ΔE_f (raw) (eV/atom) = 1.2391
- space-group type = No. 123